## AcZnPb (PBE-GGA)

Data for a relaxed AcZnPb crystal.

Geometry as POSCAR:
```
AcZnPb
1.0
4.4680 1.3282 1.0396
3.3981 5.7737 0.0347
3.3520 -1.8778 9.8213
Zn Ac Pb
2 2 2
Direct
0.5280 0.3230 0.4636
0.5180 0.3279 0.9696
0.6970 0.7386 0.3790
0.3489 0.9122 0.0542
0.5256 0.5742 0.7152
0.5204 0.0766 0.7180
```

Computed properties:
The value obtained for the magnetization is 0.68 μB per formula unit. Its formation energy is -0.273 eV per atom. The total energy is -3.30 eV per atom. The symmetry is P-1.